No. 1
A plane-wave DFT calculation with PBE was carried out for a relaxed PrHPb crystal.

Unit cell a=3.815 b=3.812 c=12.016 alpha=98.96 beta=80.87 gamma=59.98
Positions (direct):
Pr 0.804 0.030 0.363
Pr 0.196 0.970 0.637
Pb 0.636 0.861 0.868
Pb 0.364 0.139 0.132
H 0.597 0.236 0.569
H 0.403 0.764 0.431

Summary:
Total magnetic moment (μB/f.u.): 0.0
Electronic total energy (Ry/atom): -0.3147

***

No. 2
A plane-wave DFT calculation with PBE was carried out for a relaxed Pr12H5Pb3 crystal.

Unit cell a=14.212 b=14.212 c=14.212 alpha=109.47 beta=109.47 gamma=109.47
Positions (direct):
Pr 0.486 0.692 0.095
Pr 0.205 0.692 0.097
Pr 0.192 0.095 0.986
Pr 0.705 0.109 0.014
Pr 0.609 0.014 0.205
Pr 0.295 0.403 0.808
Pr 0.891 0.295 0.486
Pr 0.014 0.609 0.705
Pr 0.391 0.986 0.795
Pr 0.692 0.205 0.597
Pr 0.986 0.391 0.295
Pr 0.486 0.795 0.891
Pr 0.308 0.514 0.405
Pr 0.903 0.095 0.609
Pr 0.905 0.808 0.514
Pr 0.095 0.903 0.109
Pr 0.405 0.391 0.597
Pr 0.295 0.891 0.986
Pr 0.109 0.403 0.095
Pr 0.595 0.986 0.692
Pr 0.095 0.192 0.486
Pr 0.514 0.205 0.109
Pr 0.986 0.595 0.192
Pr 0.705 0.597 0.192
Pr 0.097 0.192 0.205
Pr 0.609 0.595 0.903
Pr 0.808 0.905 0.014
Pr 0.308 0.795 0.403
Pr 0.795 0.486 0.391
Pr 0.109 0.705 0.514
Pr 0.692 0.486 0.595
Pr 0.403 0.109 0.595
Pr 0.403 0.295 0.308
Pr 0.391 0.405 0.097
Pr 0.097 0.905 0.391
Pr 0.597 0.705 0.692
Pr 0.192 0.097 0.705
Pr 0.795 0.308 0.903
Pr 0.597 0.891 0.405
Pr 0.903 0.808 0.795
Pr 0.514 0.308 0.905
Pr 0.891 0.597 0.905
Pr 0.014 0.405 0.808
Pr 0.808 0.903 0.295
Pr 0.595 0.609 0.403
Pr 0.405 0.014 0.308
Pr 0.905 0.097 0.891
Pr 0.205 0.514 0.609
H 0.750 0.125 0.875
H 0.875 0.250 0.625
H 0.125 0.375 0.250
H 0.125 0.750 0.375
H 0.375 0.125 0.750
H 0.250 0.875 0.125
H 0.625 0.875 0.250
H 0.500 0.000 0.500
H 0.500 0.500 0.000
H 0.000 0.500 0.000
H 0.250 0.375 0.625
H 0.750 0.625 0.375
H 0.500 0.000 0.000
H 0.375 0.250 0.125
H 0.000 0.000 0.000
H 0.625 0.750 0.875
H 0.000 0.500 0.500
H 0.875 0.625 0.750
H 0.500 0.500 0.500
H 0.000 0.000 0.500
Pb 0.750 0.375 0.125
Pb 0.250 0.625 0.875
Pb 0.125 0.875 0.750
Pb 0.375 0.750 0.625
Pb 0.625 0.250 0.375
Pb 0.875 0.750 0.125
Pb 0.875 0.125 0.250
Pb 0.625 0.375 0.750
Pb 0.250 0.125 0.375
Pb 0.750 0.875 0.625
Pb 0.125 0.250 0.875
Pb 0.375 0.625 0.250

Summary:
Total magnetic moment (μB/f.u.): 0.0
Electronic total energy (Ry/atom): -0.3332

***

No. 3
A plane-wave DFT calculation with PBE was carried out for a relaxed Pr4HPb crystal.

Unit cell a=6.237 b=7.247 c=8.491 alpha=106.77 beta=111.55 gamma=90.00
Positions (direct):
Pr 0.317 0.552 0.802
Pr 0.683 0.448 0.198
Pr 0.907 0.849 0.632
Pr 0.276 0.651 0.368
Pr 0.516 0.948 0.198
Pr 0.093 0.151 0.368
Pr 0.724 0.349 0.632
Pr 0.484 0.052 0.802
H 0.500 0.000 0.500
H 0.000 0.500 0.500
Pb 0.101 0.250 0.000
Pb 0.899 0.750 0.000

Summary:
Total magnetic moment (μB/f.u.): 0.0
Electronic total energy (Ry/atom): -0.3382

***

No. 4
A plane-wave DFT calculation with PBE was carried out for a relaxed Pr2HPb2 crystal.

Unit cell a=4.926 b=6.675 c=8.830 alpha=90.00 beta=106.20 gamma=90.00
Positions (direct):
Pb 0.803 0.503 0.605
Pb 0.984 0.676 0.967
Pb 0.197 0.003 0.395
Pb 0.016 0.176 0.033
H 0.363 0.068 0.726
H 0.637 0.568 0.274
Pr 0.830 0.997 0.660
Pr 0.420 0.390 0.841
Pr 0.170 0.497 0.340
Pr 0.580 0.890 0.159

Summary:
Total magnetic moment (μB/f.u.): 0.0
Electronic total energy (Ry/atom): -0.3296

***

No. 5
A plane-wave DFT calculation with PBE was carried out for a relaxed PrH6Rh2Pb crystal.

Unit cell a=7.194 b=7.194 c=4.744 alpha=86.70 beta=86.70 gamma=115.22
Positions (direct):
H 0.459 0.777 0.208
H 0.672 0.662 0.008
H 0.338 0.328 0.492
H 0.662 0.672 0.508
H 0.541 0.223 0.792
H 0.385 0.008 0.571
H 0.992 0.615 0.929
H 0.008 0.385 0.071
H 0.777 0.459 0.708
H 0.328 0.338 0.992
H 0.615 0.992 0.429
H 0.223 0.541 0.292
Pr 0.340 0.660 0.750
Pr 0.660 0.340 0.250
Rh 0.295 0.136 0.768
Rh 0.136 0.295 0.268
Rh 0.864 0.705 0.732
Rh 0.705 0.864 0.232
Pb 0.124 0.876 0.250
Pb 0.876 0.124 0.750

Summary:
Total magnetic moment (μB/f.u.): 0.0
Electronic total energy (Ry/atom): -0.3384

***

No. 6
A plane-wave DFT calculation with PBE was carried out for a relaxed PrH8Rh2Pb crystal.

Unit cell a=4.254 b=4.254 c=8.947 alpha=76.25 beta=76.25 gamma=60.00
Positions (direct):
H 0.469 0.918 0.145
H 0.184 0.184 0.447
H 0.082 0.531 0.855
H 0.531 0.082 0.855
H 0.918 0.469 0.145
H 0.816 0.816 0.553
H 0.531 0.531 0.855
H 0.469 0.469 0.145
Rh 0.750 0.750 0.751
Rh 0.250 0.250 0.249
Pb 0.500 0.500 0.500
Pr 0.000 0.000 0.000

Summary:
Total magnetic moment (μB/f.u.): 0.0
Electronic total energy (Ry/atom): -0.3070